1.
This record from Alexandria describes an optimized crystal structure of NaAcCe2S4. The functional is PBE.

Geometry as CIF:
```
data_NaAcCe2S4
_chemical_formula_sum 'Na1 Ac1 Ce2 S4'
_symmetry_space_group_name_H-M 'P 1 2/m 1'
_symmetry_Int_Tables_number 10
_symmetry_space_group_name_Hall '-P 2y'
_cell_length_a 7.099
_cell_length_b 4.119
_cell_length_c 7.274
_cell_angle_alpha 90.00
_cell_angle_beta 109.02
_cell_angle_gamma 90.00
loop_
_atom_site_label
_atom_site_fract_x
_atom_site_fract_y
_atom_site_fract_z
Na1 0.000 0.000 0.000
Ac1 0.500 0.500 0.000
Ce1 0.000 0.500 0.500
Ce2 0.500 0.000 0.500
S1 0.239 0.000 0.738
S2 0.251 0.500 0.262
```

E = -6.092 eV per atom
Energy relative to the elements, uncorrected = -1.866 eV per atom

2.
This record from Alexandria describes an optimized crystal structure of K2FeI8. The functional is PBE.

Geometry as CIF:
```
data_K2FeI8
_chemical_formula_sum 'K4 Fe2 I16'
_symmetry_space_group_name_H-M 'C 1 2/m 1'
_symmetry_Int_Tables_number 12
_symmetry_space_group_name_Hall '-C 2y'
_cell_length_a 13.009
_cell_length_b 7.864
_cell_length_c 11.903
_cell_angle_alpha 90.00
_cell_angle_beta 114.31
_cell_angle_gamma 90.00
loop_
_atom_site_label
_atom_site_fract_x
_atom_site_fract_y
_atom_site_fract_z
K1 0.182 0.000 0.145
Fe1 0.000 0.500 0.500
I1 0.095 0.000 0.835
I2 0.122 0.500 0.052
I3 0.130 0.250 0.508
```

E = -2.528 eV per atom
Energy relative to the elements, uncorrected = -0.432 eV per atom

3.
This record from Alexandria describes an optimized crystal structure of SmSc5Ir4. The functional is PBE.

Geometry as CIF:
```
data_SmSc5Ir4
_chemical_formula_sum 'Sm1 Sc5 Ir4'
_symmetry_space_group_name_H-M 'P 4/m m m'
_symmetry_Int_Tables_number 123
_symmetry_space_group_name_Hall '-P 4 2'
_cell_length_a 3.223
_cell_length_b 3.223
_cell_length_c 18.422
_cell_angle_alpha 90.00
_cell_angle_beta 90.00
_cell_angle_gamma 90.00
loop_
_atom_site_label
_atom_site_fract_x
_atom_site_fract_y
_atom_site_fract_z
Sm1 0.000 0.000 0.000
Sc1 0.500 0.500 0.147
Sc2 0.500 0.500 0.322
Sc3 0.500 0.500 0.500
Ir1 0.000 0.000 0.231
Ir2 0.000 0.000 0.411
```

E = -7.997 eV per atom
ΔH_f (0 K) = -815.1 meV/atom

4.
This record from Alexandria describes an optimized crystal structure of Ca2SiSe. The functional is PBE.

Geometry as CIF:
```
data_Ca2SiSe
_chemical_formula_sum 'Ca8 Si4 Se4'
_symmetry_space_group_name_H-M 'F -4 3 m'
_symmetry_Int_Tables_number 216
_symmetry_space_group_name_Hall 'F -4 2 3'
_cell_length_a 7.271
_cell_length_b 7.271
_cell_length_c 7.271
_cell_angle_alpha 90.00
_cell_angle_beta 90.00
_cell_angle_gamma 90.00
loop_
_atom_site_label
_atom_site_fract_x
_atom_site_fract_y
_atom_site_fract_z
Ca1 0.000 0.000 0.000
Ca2 0.250 0.250 0.250
Si1 0.250 0.250 0.750
Se1 0.000 0.000 0.500
```

Energy above the lowest structure with this stoichiometry = 0.826 eV/atom
E = -3.359 eV per atom
Energy relative to the elements, uncorrected = -0.132 eV per atom

5.
This record from Alexandria describes an optimized crystal structure of Tb4Ho9Al11. The functional is PBE.

Geometry as CIF:
```
data_Tb4Ho9Al11
_chemical_formula_sum 'Tb8 Ho18 Al22'
_symmetry_space_group_name_H-M 'C m m m'
_symmetry_Int_Tables_number 65
_symmetry_space_group_name_Hall '-C 2 2'
_cell_length_a 15.324
_cell_length_b 22.358
_cell_length_c 3.349
_cell_angle_alpha 90.00
_cell_angle_beta 90.00
_cell_angle_gamma 90.00
loop_
_atom_site_label
_atom_site_fract_x
_atom_site_fract_y
_atom_site_fract_z
Tb1 0.177 0.083 0.000
Ho1 0.000 0.000 0.000
Ho2 0.107 0.403 0.000
Ho3 0.112 0.224 0.000
Al1 0.000 0.121 0.500
Al2 0.000 0.311 0.500
Al3 0.000 0.500 0.500
Al4 0.197 0.500 0.500
Al5 0.225 0.313 0.500
```

E = -4.530 eV per atom
ΔH_f (0 K) = -326.7 meV/atom

6.
This record from Alexandria describes an optimized crystal structure of NbI2O2. The functional is PBE.

Geometry as CIF:
```
data_NbI2O2
_chemical_formula_sum 'Nb1 I2 O2'
_symmetry_space_group_name_H-M 'P 4/m m m'
_symmetry_Int_Tables_number 123
_symmetry_space_group_name_Hall '-P 4 2'
_cell_length_a 5.586
_cell_length_b 5.586
_cell_length_c 3.899
_cell_angle_alpha 90.00
_cell_angle_beta 90.00
_cell_angle_gamma 90.00
loop_
_atom_site_label
_atom_site_fract_x
_atom_site_fract_y
_atom_site_fract_z
Nb1 0.000 0.000 0.000
I1 0.000 0.500 0.000
O1 0.000 0.000 0.500
O2 0.500 0.500 0.500
```

Energy above the lowest structure with this stoichiometry = 0.520 eV/atom
E = -4.898 eV per atom
Energy relative to the elements, uncorrected = -0.281 eV per atom

7.
This record from Alexandria describes an optimized crystal structure of K2LaZn. The functional is PBE.

Geometry as CIF:
```
data_K2LaZn
_chemical_formula_sum 'K2 La1 Zn1'
_symmetry_space_group_name_H-M 'P 1 m 1'
_symmetry_Int_Tables_number 6
_symmetry_space_group_name_Hall 'P -2y'
_cell_length_a 3.952
_cell_length_b 3.950
_cell_length_c 11.469
_cell_angle_alpha 90.00
_cell_angle_beta 90.11
_cell_angle_gamma 90.00
loop_
_atom_site_label
_atom_site_fract_x
_atom_site_fract_y
_atom_site_fract_z
K1 0.000 0.000 0.000
K2 0.494 0.500 0.359
La1 0.994 0.000 0.663
Zn1 0.494 0.500 0.787
```

Energy above the lowest structure with this stoichiometry = 0.000 eV/atom
E = -2.033 eV per atom
ΔH_f (0 K) = 66.3 meV/atom

8.
This record from Alexandria describes an optimized crystal structure of Tb2Pm6Hg. The functional is PBE.

Geometry as CIF:
```
data_Tb2Pm6Hg
_chemical_formula_sum 'Tb2 Pm6 Hg1'
_symmetry_space_group_name_H-M 'P -6 2 m'
_symmetry_Int_Tables_number 189
_symmetry_space_group_name_Hall 'P -6 -2'
_cell_length_a 9.5969
_cell_length_b 9.5969
_cell_length_c 3.6963
_cell_angle_alpha 90.00
_cell_angle_beta 90.00
_cell_angle_gamma 120.00
loop_
_atom_site_label
_atom_site_fract_x
_atom_site_fract_y
_atom_site_fract_z
Tb1 0.3333 0.6667 0.0000
Pm1 0.0000 0.3804 0.5000
Pm2 0.0000 0.7276 0.0000
Hg1 0.0000 0.0000 0.5000
```

Energy above the lowest structure with this stoichiometry = 0.000 eV/atom
E = -4.330 eV per atom
ΔH_f (0 K) = -100.9 meV/atom

no.,total moment (μB per formula unit)
1,2.4
2,3.7
3,0.0
4,0.0
5,0.0
6,1.3
7,0.2
8,0.0